First-principles (PBE) data for Sm3InS after structural relaxation, as listed in the Alexandria database.

Cell and atoms, written as POSCAR:
```
Sm3InS
1.0
5.3051 0.0000 0.0000
0.0000 5.3051 0.0000
0.0000 0.0000 5.3051
Sm In S
3 1 1
Direct
0.0000 0.0000 0.5000
0.0000 0.5000 0.0000
0.5000 0.0000 0.0000
0.5000 0.5000 0.5000
0.0000 0.0000 0.0000
```

Results
The electronic total energy comes out at -5.093 eV per atom. As for the symmetry: Pm-3m, No. 221. The formation energy without anion corrections comes out at -0.8887 eV/atom. As for the density of states at the Fermi level: 0.7387 states/eV per atom. Its volume is 149 Å³ per cell.